{"formula": "Pm3IrN", "functional": "PBE-GGA", "state": "optimized geometry", "formation_energy_uncorrected_ev_per_atom": -0.65, "magmom_total_mub_per_cell": 0.00, "de_polymorph_mev_per_atom": 73.8, "n_ef_per_ev_cell": 4.2, "crystal_system": "cubic", "lattice": [[-1.360, -2.776, 3.728], [4.111, -2.530, -0.384], [2.168, 3.057, 3.067]], "species": ["Pm", "Pm", "Pm", "N", "Ir"], "frac_coords": [[0.500, 0.000, 0.000], [0.000, 0.500, 0.000], [0.000, 0.000, 0.500], [0.000, 0.000, 0.000], [0.500, 0.500, 0.500]]}